[1]
{
  "formula": "LiY2S",
  "functional": "GGA-PBE",
  "state": "optimized geometry",
  "e_form_raw_ev_per_atom": -0.53,
  "total_energy_ev_per_atom": -5.27,
  "relative_energy_mev_per_atom": 326,
  "space_group": "I-42d",
  "lattice": [[-4.000, 4.000, 3.362], [4.000, -4.000, 3.362], [4.000, 4.000, -3.362]],
  "species": ["Li", "Li", "Y", "Y", "Y", "Y", "S", "S"],
  "fractional_positions": [[0.000, 0.000, 0.000], [0.750, 0.250, 0.500], [0.185, 0.125, 0.560], [0.375, 0.815, 0.940], [0.565, 0.625, 0.440], [0.875, 0.435, 0.060], [0.250, 0.750, 0.500], [0.500, 0.500, 0.000]]
}

=====

[2]
{
  "formula": "ZrZn2Cr2",
  "functional": "GGA-PBE",
  "state": "optimized geometry",
  "formation_energy_ev_per_atom": 0.153,
  "total_energy_ev_per_atom": -5.92,
  "relative_energy_mev_per_atom": 0,
  "space_group": "I4/mmm",
  "lattice": [[-1.782, 1.782, 5.960], [1.782, -1.782, 5.960], [1.782, 1.782, -5.960]],
  "species": ["Zr", "Zn", "Zn", "Cr", "Cr"],
  "fractional_positions": [[0.000, 0.000, 0.000], [0.398, 0.398, 0.000], [0.602, 0.602, 0.000], [0.250, 0.750, 0.500], [0.750, 0.250, 0.500]]
}

=====

[3]
{
  "formula": "CsCd2CoI",
  "functional": "GGA-PBE",
  "state": "optimized geometry",
  "e_form_raw_ev_per_atom": 0.83,
  "total_energy_ev_per_atom": -1.43,
  "space_group": "P4/mmm",
  "lattice": [[7.861, 0.000, 0.000], [0.000, 7.861, 0.000], [0.000, 0.000, 7.066]],
  "species": ["Cs", "Cd", "Cd", "Co", "I"],
  "fractional_positions": [[0.000, 0.000, 0.000], [0.000, 0.500, 0.000], [0.500, 0.000, 0.000], [0.500, 0.500, 0.500], [0.000, 0.000, 0.500]]
}

=====

[4]
{
  "formula": "Pm8CuIr3Br4",
  "functional": "GGA-PBE",
  "state": "optimized geometry",
  "e_form_raw_ev_per_atom": -1.00,
  "total_energy_ev_per_atom": -5.71,
  "space_group": "R-3m",
  "lattice": [[4.144, 2.393, 7.738], [-4.144, 2.393, 7.738], [0.000, -4.786, 7.738]],
  "species": ["Pm", "Pm", "Pm", "Pm", "Pm", "Pm", "Pm", "Pm", "Cu", "Ir", "Ir", "Ir", "Br", "Br", "Br", "Br"],
  "fractional_positions": [[0.225, 0.735, 0.735], [0.232, 0.232, 0.232], [0.265, 0.265, 0.775], [0.265, 0.775, 0.265], [0.735, 0.225, 0.735], [0.735, 0.735, 0.225], [0.768, 0.768, 0.768], [0.775, 0.265, 0.265], [0.500, 0.500, 0.500], [0.000, 0.000, 0.500], [0.000, 0.500, 0.000], [0.500, 0.000, 0.000], [0.000, 0.000, 0.000], [0.000, 0.500, 0.500], [0.500, 0.000, 0.500], [0.500, 0.500, 0.000]]
}

=====

[5]
{
  "formula": "Cs3Tl2",
  "functional": "GGA-PBE",
  "state": "optimized geometry",
  "formation_energy_ev_per_atom": -0.014,
  "total_energy_ev_per_atom": -1.47,
  "space_group": "Fdd2",
  "lattice": [[0.000, 15.434, 2.543], [7.979, 0.000, 2.543], [7.979, 15.434, 0.000]],
  "species": ["Cs", "Cs", "Cs", "Cs", "Cs", "Cs", "Tl", "Tl", "Tl", "Tl"],
  "fractional_positions": [[0.000, 0.000, 0.000], [0.072, 0.497, 0.642], [0.250, 0.250, 0.250], [0.461, 0.608, 0.753], [0.497, 0.072, 0.789], [0.608, 0.461, 0.178], [0.297, 0.770, 0.657], [0.593, 0.973, 0.953], [0.770, 0.297, 0.277], [0.973, 0.593, 0.480]]
}

=====

[6]
{
  "formula": "Zn2FeNi",
  "functional": "GGA-PBE",
  "state": "optimized geometry",
  "formation_energy_ev_per_atom": -0.023,
  "total_energy_ev_per_atom": -4.22,
  "space_group": "I-4m2",
  "lattice": [[-1.875, 1.875, 3.583], [1.875, -1.875, 3.583], [1.875, 1.875, -3.583]],
  "species": ["Zn", "Zn", "Fe", "Ni"],
  "fractional_positions": [[0.000, 0.000, 0.000], [0.750, 0.250, 0.500], [0.250, 0.750, 0.500], [0.500, 0.500, 0.000]]
}

=====

[7]
{
  "formula": "Ce4CdAu7",
  "functional": "GGA-PBE",
  "state": "optimized geometry",
  "formation_energy_ev_per_atom": -0.505,
  "total_energy_ev_per_atom": -4.47,
  "space_group": "C2/m",
  "lattice": [[7.348, -2.585, 0.000], [7.348, 2.585, 0.000], [-4.816, 0.000, 7.948]],
  "species": ["Ce", "Ce", "Ce", "Ce", "Cd", "Au", "Au", "Au", "Au", "Au", "Au", "Au"],
  "fractional_positions": [[0.063, 0.063, 0.250], [0.227, 0.227, 0.765], [0.773, 0.773, 0.235], [0.937, 0.937, 0.750], [0.500, 0.500, 0.500], [0.000, 0.000, 0.500], [0.168, 0.168, 0.049], [0.306, 0.306, 0.516], [0.403, 0.403, 0.138], [0.597, 0.597, 0.862], [0.694, 0.694, 0.484], [0.832, 0.832, 0.951]]
}

=====

[8]
{
  "formula": "GaTcNi2N",
  "functional": "GGA-PBE",
  "state": "optimized geometry",
  "e_form_raw_ev_per_atom": -0.13,
  "total_energy_ev_per_atom": -6.78,
  "space_group": "P4/mmm",
  "lattice": [[3.818, 0.000, 0.000], [0.000, 3.818, 0.000], [0.000, 0.000, 3.995]],
  "species": ["Ga", "Tc", "Ni", "Ni", "N"],
  "fractional_positions": [[0.000, 0.000, 0.000], [0.500, 0.500, 0.000], [0.000, 0.500, 0.500], [0.500, 0.000, 0.500], [0.500, 0.500, 0.500]]
}